(w)
Material: NdLuSc2
Method: DFT, PBE-GGA
State: relaxed

- Total magnetic moment: 0.0 μB/f.u.
- SG: R-3m, No. 166
- Calculated volume: 28.06 Å³/atom

Lattice parameters (Å, degrees): 11.1602 11.1602 11.1602 17.71 17.71 17.71
Element x y z (fractional)
Nd (0.0000, 0.0000, 0.0000)
Lu (0.5000, 0.5000, 0.5000)
Sc (0.2484, 0.2484, 0.2484)
Sc (0.7516, 0.7516, 0.7516)

***

(x)
Material: NdLuSc2
Method: DFT, PBE-GGA
State: relaxed

- Total magnetic moment: 0.0 μB/f.u.
- SG: P4/mmm, No. 123
- Calculated volume: 28.19 Å³/atom

Lattice parameters (Å, degrees): 4.9019 4.9019 4.6923 90.00 90.00 90.00
Element x y z (fractional)
Nd (0.0000, 0.0000, 0.0000)
Lu (0.5000, 0.5000, 0.0000)
Sc (0.0000, 0.5000, 0.5000)
Sc (0.5000, 0.0000, 0.5000)

***

(y)
Material: NdLuSc2
Method: DFT, PBE-GGA
State: relaxed

- Total magnetic moment: 0.0 μB/f.u.
- SG: P4/mmm, No. 123
- Calculated volume: 28.32 Å³/atom

Lattice parameters (Å, degrees): 3.8692 3.8692 7.5670 90.00 90.00 90.00
Element x y z (fractional)
Nd (0.0000, 0.0000, 0.0000)
Lu (0.0000, 0.0000, 0.5000)
Sc (0.5000, 0.5000, 0.2640)
Sc (0.5000, 0.5000, 0.7360)

***

What should be chosen as the least stable of them? Choose (y).

***

(w)
Material: NdLu2Sc
Method: DFT, PBE-GGA
State: relaxed

- Total magnetic moment: 0.0 μB/f.u.
- SG: P4/mmm, No. 123
- Calculated volume: 30.05 Å³/atom

Lattice parameters (Å, degrees): 3.8297 3.8297 8.1969 90.00 90.00 90.00
Element x y z (fractional)
Nd (0.0000, 0.0000, 0.0000)
Lu (0.5000, 0.5000, 0.2833)
Lu (0.5000, 0.5000, 0.7167)
Sc (0.0000, 0.0000, 0.5000)

***

(x)
Material: NdLu2Sc
Method: DFT, PBE-GGA
State: relaxed

- Total magnetic moment: 0.0 μB/f.u.
- SG: P4/mmm, No. 123
- Calculated volume: 29.48 Å³/atom

Lattice parameters (Å, degrees): 4.8767 4.8767 4.9581 90.00 90.00 90.00
Element x y z (fractional)
Nd (0.0000, 0.0000, 0.0000)
Lu (0.0000, 0.5000, 0.5000)
Lu (0.5000, 0.0000, 0.5000)
Sc (0.5000, 0.5000, 0.0000)

***

What should be chosen as the least stable of them? Choose (w).

***

(w)
Material: NdLuSi
Method: DFT, PBE-GGA
State: relaxed

- Total magnetic moment: 0.0 μB/f.u.
- SG: P3m1, No. 156
- Calculated volume: 26.70 Å³/atom

Lattice parameters (Å, degrees): 4.6815 4.6815 4.2200 90.00 90.00 120.00
Element x y z (fractional)
Nd (0.0000, 0.0000, 0.0000)
Lu (0.6667, 0.3333, 0.4799)
Si (0.3333, 0.6667, 0.5953)

***

(x)
Material: NdLuSi
Method: DFT, PBE-GGA
State: relaxed

- Total magnetic moment: 0.0 μB/f.u.
- SG: F-43m, No. 216
- Calculated volume: 27.40 Å³/atom

Lattice parameters (Å, degrees): 4.8806 4.8806 4.8806 60.00 60.00 60.00
Element x y z (fractional)
Nd (0.0000, 0.0000, 0.0000)
Lu (0.5000, 0.5000, 0.5000)
Si (0.7500, 0.7500, 0.7500)

***

What should be chosen as the least stable of them? Choose (w).

***

(w)
Material: NdSmLu
Method: DFT, PBE-GGA
State: relaxed

- Total magnetic moment: 0.0 μB/f.u.
- SG: P-6m2, No. 187
- Calculated volume: 32.45 Å³/atom

Lattice parameters (Å, degrees): 5.6780 5.6780 3.4872 90.00 90.00 120.00
Element x y z (fractional)
Nd (0.0000, 0.0000, 0.0000)
Sm (0.3333, 0.6667, 0.5000)
Lu (0.6667, 0.3333, 0.0000)

***

(x)
Material: NdSmLu
Method: DFT, PBE-GGA
State: relaxed

- Total magnetic moment: 0.0 μB/f.u.
- SG: I4mm, No. 107
- Calculated volume: 32.78 Å³/atom

Lattice parameters (Å, degrees): 8.0076 8.0076 8.0076 154.03 154.03 37.06
Element x y z (fractional)
Nd (0.0000, 0.0000, 0.0000)
Sm (0.6714, 0.6714, 0.0000)
Lu (0.3346, 0.3346, 0.0000)

***

What should be chosen as the least stable of them? Choose (w).

***

(w)
Material: NdSmLu2
Method: DFT, PBE-GGA
State: relaxed

- Total magnetic moment: 0.0 μB/f.u.
- SG: P4/mmm, No. 123
- Calculated volume: 31.74 Å³/atom

Lattice parameters (Å, degrees): 5.0737 5.0737 4.9314 90.00 90.00 90.00
Element x y z (fractional)
Nd (0.0000, 0.0000, 0.0000)
Sm (0.5000, 0.5000, 0.0000)
Lu (0.0000, 0.5000, 0.5000)
Lu (0.5000, 0.0000, 0.5000)

***

(x)
Material: NdSmLu2
Method: DFT, PBE-GGA
State: relaxed

- Total magnetic moment: 0.0 μB/f.u.
- SG: Fm-3m, No. 225
- Calculated volume: 32.15 Å³/atom

Lattice parameters (Å, degrees): 5.6657 5.6657 5.6657 60.00 60.00 60.00
Element x y z (fractional)
Nd (0.0000, 0.0000, 0.0000)
Sm (0.5000, 0.5000, 0.5000)
Lu (0.2500, 0.2500, 0.2500)
Lu (0.7500, 0.7500, 0.7500)

***

What should be chosen as the least stable of them? Choose (x).

***

(w)
Material: SrNdLu
Method: DFT, PBE-GGA
State: relaxed

- Total magnetic moment: 0.0 μB/f.u.
- SG: I4mm, No. 107
- Calculated volume: 37.73 Å³/atom

Lattice parameters (Å, degrees): 8.4161 8.4161 8.4161 154.15 154.15 36.88
Element x y z (fractional)
Sr (0.0000, 0.0000, 0.0000)
Nd (0.6842, 0.6842, 0.0000)
Lu (0.3231, 0.3231, 0.0000)

***

(x)
Material: SrNdLu
Method: DFT, PBE-GGA
State: relaxed

- Total magnetic moment: 0.0 μB/f.u.
- SG: P3m1, No. 156
- Calculated volume: 37.49 Å³/atom

Lattice parameters (Å, degrees): 3.7412 3.7412 9.2789 90.00 90.00 120.00
Element x y z (fractional)
Sr (0.0000, 0.0000, 0.0000)
Nd (0.6667, 0.3333, 0.3643)
Lu (0.3333, 0.6667, 0.6570)

***

What should be chosen as the least stable of them? Choose (x).